Rb2HfMoF6: relaxed, PBE+U.

Results
Theoretical density (g/cm3): 3.956
Final energy (Ha/atom): -0.2080
Symmetry: I4/mmm

Geometry as POSCAR:
```
Rb2HfMoF6
1.0
-1.071 -2.090 6.506
2.951 -6.082 -1.468
5.312 -2.278 3.820
F Rb Mo Hf
6 2 1 1
Direct
0.795 0.795 0.000
0.205 0.795 0.000
0.205 0.205 0.000
0.205 0.205 0.591
0.795 0.795 0.409
0.795 0.205 0.000
0.250 0.750 0.500
0.750 0.250 0.500
0.500 0.500 0.000
0.000 0.000 0.000
```